[1]
Entry from the Alexandria database: TbPuRh4 after structural relaxation (PBE).

## Properties
The total magnetization is 4.992 μB per formula unit. The value obtained for the formation energy from the elements is -595 meV/atom. The total DFT energy (no corrections) is -51.94 eV per cell.

Lattice parameters (Å, degrees): 5.3421 5.3421 5.3421 60.00 60.00 60.00
With the nearest neighbours (Å) after each atom.
Positions (direct):
Tb  0.0000  0.0000  0.0000  12 Rh 3.13, 4 Pu 3.27
Pu  0.2500  0.2500  0.2500  12 Rh 3.13, 4 Tb 3.27
Rh  0.1254  0.6249  0.6249  6 Rh 2.67
Rh  0.6249  0.1254  0.6249  6 Rh 2.67
Rh  0.6249  0.6249  0.1254  6 Rh 2.67
Rh  0.6249  0.6249  0.6249  6 Rh 2.67

=====

[2]
Entry from the Alexandria database: Tb5PuRh6 after structural relaxation (PBE).

## Properties
The total magnetization is 4.783 μB per formula unit. The value obtained for the formation energy from the elements is -758 meV/atom. The total DFT energy (no corrections) is -90.69 eV per cell.

Lattice parameters (Å, degrees): 7.6459 7.6459 6.9846 90.00 90.00 143.21
With the nearest neighbours (Å) after each atom.
Positions (direct):
Tb  0.0000  0.0000  0.0000  8 Rh 2.97-2.99
Tb  0.3330  0.6670  0.0000  8 Rh 2.98-2.99
Tb  0.3335  0.6665  0.5000  8 Rh 2.97-3.00
Tb  0.6670  0.3330  0.0000  8 Rh 2.98-2.99
Tb  0.6665  0.3335  0.5000  8 Rh 2.97-3.00
Pu  0.0000  0.0000  0.5000  8 Rh 2.97
Rh  0.1656  0.8344  0.2502  1 Pu 2.97, 7 Tb 2.97-3.00
Rh  0.1656  0.8344  0.7498  1 Pu 2.97, 7 Tb 2.97-3.00
Rh  0.5000  0.5000  0.2518  2 Pu 2.97, 6 Tb 2.97-2.99
Rh  0.5000  0.5000  0.7482  2 Pu 2.97, 6 Tb 2.97-2.99
Rh  0.8344  0.1656  0.2502  1 Pu 2.97, 7 Tb 2.97-3.00
Rh  0.8344  0.1656  0.7498  1 Pu 2.97, 7 Tb 2.97-3.00